This record from the Alexandria database describes a crystal of In2CoPb relaxed with PBEsol. The functional is SCAN.

It has space group I4/mmm (No. 139), with a = 4.2988 Å, b = 4.2988 Å, c = 9.0566 Å, α = 90.00°, β = 90.00° and γ = 90.00°. The inequivalent atoms are In at (0.0000, 0.5000, 0.2500), Co at (0.0000, 0.0000, 0.0000) and Pb at (0.0000, 0.0000, 0.5000).

The calculated formation energy comes out at 46.80 kJ per mole of atoms. As for the total energy: -315.84 eV per cell.